Entry 1:
The following is a DFT calculation (SCAN) of a crystal of SrRe2Pt relaxed with PBEsol.

a = 5.4536 Å, b = 5.4536 Å, c = 5.4536 Å
α = 138.16°, β = 138.16°, γ = 60.66°
With the nearest neighbours (Å) after each atom.
Fractional positions:
Sr (0.0000, 0.0000, 0.0000)  4 Pt 2.75, 8 Re 3.05
Re (0.2500, 0.7500, 0.5000)  4 Re 2.75, 4 Pt 3.05, 4 Sr 3.05
Re (0.7500, 0.2500, 0.5000)  4 Re 2.75, 4 Pt 3.05, 4 Sr 3.05
Pt (0.5000, 0.5000, 0.0000)  4 Sr 2.75, 8 Re 3.05

Energy of formation from the pure elements: 0.965 eV per atom

Entry 2:
The following is a DFT calculation (SCAN) of a crystal of Er2Te5O13 relaxed with PBEsol.

a = 6.8515 Å, b = 8.5247 Å, c = 10.3909 Å
α = 88.83°, β = 87.15°, γ = 74.96°
With the nearest neighbours (Å) after each atom.
Fractional positions:
Er (0.0005, 0.2373, 0.2374)  6 O 2.16-2.30
Er (0.4467, 0.9687, 0.8198)  7 O 2.24-2.48
Er (0.5533, 0.0313, 0.1802)  7 O 2.24-2.48
Er (0.9995, 0.7627, 0.7626)  6 O 2.16-2.30
Te (0.1302, 0.8477, 0.1000)  3 O 1.89-2.04
Te (0.1532, 0.3016, 0.6347)  3 O 1.89-1.95
Te (0.2673, 0.8991, 0.4772)  3 O 1.91-1.94
Te (0.2917, 0.3826, 0.9675)  3 O 1.91-1.98
Te (0.4358, 0.4066, 0.3056)  3 O 1.89-2.07
Te (0.5642, 0.5934, 0.6944)  3 O 1.89-2.07
Te (0.7083, 0.6174, 0.0325)  3 O 1.91-1.98
Te (0.7327, 0.1009, 0.5228)  3 O 1.91-1.94
Te (0.8468, 0.6984, 0.3653)  3 O 1.89-1.95
Te (0.8698, 0.1523, 0.9000)  3 O 1.89-2.04
O (0.0360, 0.8522, 0.5625)  1 Te 1.91
O (0.0550, 0.5173, 0.6926)  1 Te 1.89
O (0.0585, 0.3181, 0.0328)  1 Te 1.91
O (0.0676, 0.7736, 0.2818)  2 Te 1.95-2.04
O (0.1250, 0.9856, 0.8988)  1 Te 1.95
O (0.2377, 0.0002, 0.1834)  1 Te 1.89
O (0.3143, 0.2333, 0.2912)  1 Te 1.89
O (0.3273, 0.7252, 0.7761)  1 Te 1.89
O (0.3287, 0.2393, 0.7740)  1 Te 1.91
O (0.3334, 0.0175, 0.6151)  1 Te 1.91
O (0.3474, 0.4888, 0.1238)  2 Te 1.98-2.07
O (0.4558, 0.6924, 0.5135)  2 Te 1.94-2.13
O (0.4739, 0.1738, 0.9967)  1 Te 1.92
O (0.5261, 0.8262, 0.0033)  1 Te 1.92
O (0.5442, 0.3076, 0.4865)  2 Te 1.94-2.13
O (0.6526, 0.5112, 0.8762)  2 Te 1.98-2.07
O (0.6666, 0.9825, 0.3849)  1 Te 1.91
O (0.6713, 0.7607, 0.2260)  1 Te 1.91
O (0.6727, 0.2748, 0.2239)  1 Te 1.89
O (0.6857, 0.7667, 0.7088)  1 Te 1.89
O (0.7623, 0.9998, 0.8166)  1 Te 1.89
O (0.8750, 0.0144, 0.1012)  1 Te 1.95
O (0.9324, 0.2264, 0.7182)  2 Te 1.95-2.04
O (0.9415, 0.6819, 0.9672)  1 Te 1.91
O (0.9450, 0.4827, 0.3074)  1 Te 1.89
O (0.9640, 0.1478, 0.4375)  1 Te 1.91

Final energy: -20.30 eV per atom

Entry 3:
The following is a DFT calculation (SCAN) of a crystal of CoTeP2 relaxed with PBEsol.

a = 2.8799 Å, b = 2.8799 Å, c = 8.4222 Å
α = 90.00°, β = 90.00°, γ = 90.00°
With the nearest neighbours (Å) after each atom.
Fractional positions:
Co (0.0000, 0.0000, 0.0000)  8 P 2.38
Te (0.0000, 0.0000, 0.5000)  4 Te 2.88
P (0.5000, 0.5000, 0.1457)  4 Co 2.38, 1 P 2.45
P (0.5000, 0.5000, 0.8543)  4 Co 2.38, 1 P 2.45

Final energy: -18.64 eV per atom

Entry 4:
The following is a DFT calculation (SCAN) of a crystal of Ca2InCo relaxed with PBEsol.

a = 6.0709 Å, b = 6.0709 Å, c = 6.0709 Å
α = 146.53°, β = 129.76°, γ = 61.72°
With the nearest neighbours (Å) after each atom.
Fractional positions:
Ca (0.0000, 0.0000, 0.0000)  2 Co 2.96, 4 In 3.26, 2 Ca 3.29
Ca (0.6963, 0.1963, 0.5000)  4 Co 3.13, 4 Ca 3.29-3.50, 4 In 3.39-3.48
In (0.4074, 0.4074, 0.0000)  2 Co 2.55
Co (0.2293, 0.7293, 0.5000)  2 In 2.55

Energy of formation from the pure elements: -0.077 eV per atom

Entry 5:
The following is a DFT calculation (SCAN) of a crystal of Tm2O3 relaxed with PBEsol.

a = 7.0267 Å, b = 7.0267 Å, c = 8.4019 Å
α = 99.80°, β = 99.80°, γ = 27.97°
With the nearest neighbours (Å) after each atom.
Fractional positions:
Tm (0.0328, 0.0328, 0.3135)  4 O 2.14-2.19
Tm (0.3093, 0.3093, 0.3628)  6 O 2.18-2.34
Tm (0.3649, 0.3649, 0.0138)  6 O 2.18-2.40
Tm (0.6351, 0.6351, 0.9862)  6 O 2.18-2.40
Tm (0.6907, 0.6907, 0.6372)  6 O 2.18-2.34
Tm (0.9672, 0.9672, 0.6865)  4 O 2.14-2.19
O (0.1277, 0.1277, 0.7818)  5 Tm 2.19-2.40
O (0.1746, 0.1746, 0.4693)  4 Tm 2.14-2.19
O (0.2070, 0.2070, 0.1231)  3 Tm 2.18-2.24
O (0.4708, 0.4708, 0.8436)  4 Tm 2.15-2.35
O (0.5000, 0.5000, 0.5000)  6 Tm 2.41-2.65
O (0.5292, 0.5292, 0.1564)  4 Tm 2.15-2.35
O (0.7930, 0.7930, 0.8769)  3 Tm 2.18-2.24
O (0.8254, 0.8254, 0.5307)  4 Tm 2.14-2.19
O (0.8723, 0.8723, 0.2182)  5 Tm 2.19-2.40

Final energy: -28.46 eV per atom

Entry 6:
The following is a DFT calculation (SCAN) of a crystal of SnHgBr2 relaxed with PBEsol.

a = 10.8097 Å, b = 10.8097 Å, c = 10.8097 Å
α = 22.20°, β = 22.20°, γ = 22.20°
With the nearest neighbours (Å) after each atom.
Fractional positions:
Sn (0.0000, 0.0000, 0.0000)  6 Br 2.97
Hg (0.5000, 0.5000, 0.5000)  2 Br 3.53
Br (0.3884, 0.3884, 0.3884)  3 Sn 2.97
Br (0.6116, 0.6116, 0.6116)  3 Sn 2.97

Final energy: -36.21 eV per atom

Record-wise total magnetization values, in μB/f.u.: 0.0 0.0 0.0 1.6 0.0 0.0
Record-wise DOS(E_F) values, in states/eV/f.u.: 3.6 0.0 2.2 2.4 0.0 0.0